Here is a relaxed CsNa2Cu crystal from Alexandria via LeMat-Bulk. Energies are from PBE.

Structure (POSCAR):
```
CsNa2Cu
1.0
-4.870 -0.469 -3.329
-4.933 2.876 1.551
-1.858 4.623 -3.193
Cu Cs Na
1 1 2
direct
0.000 0.000 0.000
0.500 0.500 0.500
0.250 0.250 0.250
0.750 0.750 0.750
```

Properties
DOS(E_F), states/eV per cell: 2.5
Space-group type: Fm-3m
Magnetic moment, μB/cell: 0.00
ΔE_f, eV per atom: 0.39
Final energy, eV per atom: -1.509


Here is a relaxed CsNa2Cu2 crystal from Alexandria via LeMat-Bulk. Energies are from PBE.

Structure (POSCAR):
```
CsNa2Cu2
1.0
-1.848 1.729 -8.706
-2.993 -8.493 -1.052
-3.197 1.018 0.881
Cu Na Cs
4 4 2
direct
0.329 0.171 0.500
0.171 0.671 0.500
0.671 0.829 0.500
0.829 0.329 0.500
0.378 0.878 0.000
0.122 0.378 0.000
0.622 0.122 0.000
0.878 0.622 0.000
0.000 0.000 0.000
0.500 0.500 0.000
```

Properties
DOS(E_F), states/eV per cell: 4.4
Space-group type: P4/mbm
Magnetic moment, μB/cell: 0.00
ΔE_f, eV per atom: 0.38
Final energy, eV per atom: -1.959


Q: Which value of magnetic moment does entry 1 give?
A: 0.00 μB/cell


Q: The highest ΔE_f belongs to which entry?
A: CsNa2Cu


What did the second record say?
Here is a relaxed CsNa2Cu2 crystal from Alexandria via LeMat-Bulk. Energies are from PBE.

Structure (POSCAR):
```
CsNa2Cu2
1.0
-1.848 1.729 -8.706
-2.993 -8.493 -1.052
-3.197 1.018 0.881
Cu Na Cs
4 4 2
direct
0.329 0.171 0.500
0.171 0.671 0.500
0.671 0.829 0.500
0.829 0.329 0.500
0.378 0.878 0.000
0.122 0.378 0.000
0.622 0.122 0.000
0.878 0.622 0.000
0.000 0.000 0.000
0.500 0.500 0.000
```

Properties
DOS(E_F), states/eV per cell: 4.4
Space-group type: P4/mbm
Magnetic moment, μB/cell: 0.00
ΔE_f, eV per atom: 0.38
Final energy, eV per atom: -1.959